Pm3FeSn | PBE | relaxed

The space group is Pm-3m (No. 221) and the conventional cell measures 5.180, 5.180 and 5.180 Å, with angles of 90.00, 90.00 and 90.00 degrees. Symmetry generates all atoms from Pm at (0.000, 0.000, 0.500), Fe at (0.000, 0.000, 0.000) and Sn at (0.500, 0.500, 0.500).

The calculated formation energy is -175 meV per atom. The calculation puts the total moment at 0.05 μB/atom. The calculation puts the density of states at the Fermi level at 4.46 states/eV/f.u. For the volume, the calculation gives 27.803 Å³ per atom.

ZnHPt2Rh | PBE | relaxed

The space group is P4/mmm (No. 123) and the conventional cell measures 3.871, 3.871 and 4.174 Å, with angles of 90.00, 90.00 and 90.00 degrees. Symmetry generates all atoms from Zn at (0.000, 0.000, 0.000), H at (0.000, 0.000, 0.500), Pt at (0.000, 0.500, 0.500) and Rh at (0.500, 0.500, 0.000).

The calculation puts the total moment at 0.00 μB/atom. The value obtained for the offset from the most stable computed form is 0.095 eV per atom. The calculation puts the density of states at the Fermi level at 3.98 states/eV/f.u. For the volume, the calculation gives 12.507 Å³ per atom.

TlCd2NiSb | PBE | relaxed

The space group is P4/mmm (No. 123) and the conventional cell measures 5.111, 5.111 and 4.877 Å, with angles of 90.00, 90.00 and 90.00 degrees. Symmetry generates all atoms from Tl at (0.000, 0.000, 0.000), Cd at (0.000, 0.500, 0.500), Ni at (0.500, 0.500, 0.500) and Sb at (0.500, 0.500, 0.000).

The calculation puts the total moment at 0.00 μB/atom. The calculation puts the density of states at the Fermi level at 2.51 states/eV/f.u. The calculation puts the uncorrected formation energy at 0.24 eV per formula unit. For the volume, the calculation gives 25.481 Å³ per atom.

K3RbPa2Se6 | PBE | relaxed

The space group is C2/m (No. 12) and the conventional cell measures 19.874, 4.317 and 9.490 Å, with angles of 90.00, 104.68 and 90.00 degrees. Symmetry generates all atoms from K at (0.000, 0.000, 0.000), K at (0.156, 0.500, 0.336), Rb at (0.000, 0.000, 0.500), Pa at (0.169, 0.500, 0.840), Se at (0.028, 0.500, 0.775), Se at (0.177, 0.000, 0.640) and Se at (0.178, 0.000, 0.056).

The calculation puts the total moment at 0.17 μB/atom. The calculation puts the density of states at the Fermi level at 11.08 states/eV/f.u. The calculation puts the uncorrected formation energy at -16.30 eV per formula unit. For the volume, the calculation gives 32.817 Å³ per atom.

TbBeSe | PBE | relaxed

The space group is C2/m (No. 12) and the conventional cell measures 7.594, 4.381 and 9.348 Å, with angles of 90.00, 105.57 and 90.00 degrees. Symmetry generates all atoms from Tb at (0.062, 0.000, 0.187), Be at (0.175, 0.500, 0.023) and Se at (0.231, 0.000, 0.691).

The calculation puts the total moment at 0.00 μB/atom. The calculation puts the density of states at the Fermi level at 0.34 states/eV/f.u. The calculation puts the uncorrected formation energy at -2.50 eV per formula unit. For the volume, the calculation gives 24.965 Å³ per atom.

CaGaRuO6 | PBE | relaxed

The space group is P4_2nm (No. 102) and the conventional cell measures 4.817, 4.817 and 9.443 Å, with angles of 90.00, 90.00 and 90.00 degrees. Symmetry generates all atoms from Ca at (0.000, 0.000, 0.000), Ga at (0.000, 0.000, 0.339), Ru at (0.000, 0.000, 0.669), O at (0.175, 0.175, 0.511), O at (0.213, 0.213, 0.810) and O at (0.226, 0.226, 0.188).

The calculation puts the total moment at 0.12 μB/atom. The calculation puts the density of states at the Fermi level at 2.24 states/eV/f.u. The calculation puts the uncorrected formation energy at -12.60 eV per formula unit. For the volume, the calculation gives 12.175 Å³ per atom.